1.
HoTiN | PBE | relaxed

Cell: 3.256 4.112 8.642 Å, 118.41 90.00 90.00°
Element x y z (fractional)
Ho: 0.250 0.919 0.670
Ho: 0.750 0.081 0.330
N: 0.750 0.139 0.890
N: 0.250 0.861 0.110
Ti: 0.750 0.678 0.928
Ti: 0.250 0.322 0.072

Summary:
electronic total energy	-8.1336	eV/atom
space group	Pmmn, No. 59
excess energy over the best structure of this formula in the dataset	0	meV/atom


2.
HoTmTiN3 | PBE | relaxed

Cell: 3.239 6.420 9.120 Å, 92.01 90.00 90.00°
Element x y z (fractional)
Ho: 0.750 0.822 0.763
Ho: 0.250 0.178 0.237
Tm: 0.250 0.656 0.117
Tm: 0.750 0.344 0.883
Ti: 0.250 0.142 0.575
Ti: 0.750 0.858 0.425
N: 0.250 0.814 0.546
N: 0.750 0.880 0.211
N: 0.750 0.386 0.129
N: 0.750 0.186 0.454
N: 0.250 0.614 0.871
N: 0.250 0.120 0.789

Summary:
electronic total energy	-8.3934	eV/atom
space group	P2_1/m, No. 11